## one
This record from the Alexandria database describes a relaxed NdY2Co2 crystal. The functional is PBE.

a b c (Å): 3.929 14.664 4.082
angles (deg): 90.00 90.00 90.00
Space group Cmmm (No. 65)
One atom of each set of equivalent atoms:
Nd: 0.000 0.000 0.000 [2 per cell]
Y: 0.000 0.349 0.500 [4 per cell]
Co: 0.000 0.211 0.000 [4 per cell]

Computed properties:
Density (Mg/m³): 6.21

## two
This record from the Alexandria database describes a relaxed NdY2Co2 crystal. The functional is PBE.

a b c (Å): 11.540 3.771 5.564
angles (deg): 90.00 103.72 90.00
Space group C2/m (No. 12)
One atom of each set of equivalent atoms:
Nd: 0.000 0.000 0.000 [2 per cell]
Y: 0.149 0.500 0.580 [4 per cell]
Co: 0.222 0.500 0.100 [4 per cell]

Computed properties:
Density (Mg/m³): 6.21

Stability summary - winner: one; margin: 7.9 kJ/mol of atoms.

## one
This record from the Alexandria database describes a relaxed NdZn9Co2 crystal. The functional is PBE.

a b c (Å): 10.385 10.385 6.803
angles (deg): 90.00 90.00 90.00
Space group I4_1/amd (No. 141, origin choice 2)
One atom of each set of equivalent atoms:
Nd: 0.000 0.250 0.375 [4 per cell]
Zn: 0.000 0.250 0.875 [4 per cell]
Zn: 0.122 0.046 0.689 [32 per cell]
Co: 0.000 0.000 0.000 [8 per cell]

Computed properties:
Density (Mg/m³): 7.70

## two
This record from the Alexandria database describes a relaxed NdZn9Co2 crystal. The functional is PBE.

a b c (Å): 7.9775 7.9775 3.6160
angles (deg): 90.00 90.00 120.00
Space group P6/mmm (No. 191)
One atom of each set of equivalent atoms:
Nd: 0.0000 0.0000 0.0000 [1 per cell]
Zn: 0.0000 0.5000 0.0000 [3 per cell]
Zn: 0.2027 0.4054 0.5000 [6 per cell]
Co: 0.3333 0.6667 0.0000 [2 per cell]

Computed properties:
Density (Mg/m³): 7.09

Stability summary - winner: one; margin: 10.8 kJ/mol of atoms.

## one
This record from the Alexandria database describes a relaxed Nd4ZnCo crystal. The functional is PBE.

a b c (Å): 13.682 13.682 13.682
angles (deg): 90.00 90.00 90.00
Space group F-43m (No. 216)
One atom of each set of equivalent atoms:
Nd: 0.000 0.000 0.189 [24 per cell]
Nd: 0.058 0.250 0.250 [24 per cell]
Nd: 0.099 0.099 0.599 [16 per cell]
Zn: 0.173 0.173 0.827 [16 per cell]
Co: 0.109 0.109 0.391 [16 per cell]

Computed properties:
Density (Mg/m³): 7.28

## two
This record from the Alexandria database describes a relaxed Nd4ZnCo crystal. The functional is PBE.

a b c (Å): 8.770 13.878 6.133
angles (deg): 90.00 117.53 90.00
Space group C2/c (No. 15)
One atom of each set of equivalent atoms:
Nd: 0.119 0.185 0.084 [8 per cell]
Nd: 0.226 0.434 0.327 [8 per cell]
Zn: 0.000 0.376 0.750 [4 per cell]
Co: 0.000 0.003 0.250 [4 per cell]

Computed properties:
Density (Mg/m³): 7.04

Stability summary - winner: one; margin: 5.9 kJ/mol of atoms.

## one
This record from the Alexandria database describes a relaxed Co5Ni crystal. The functional is PBE.

a b c (Å): 3.524 10.495 3.530
angles (deg): 90.00 90.00 90.00
Space group Cmmm (No. 65)
One atom of each set of equivalent atoms:
Co: 0.000 0.000 0.000 [2 per cell]
Co: 0.000 0.167 0.500 [4 per cell]
Co: 0.000 0.333 0.000 [4 per cell]
Ni: 0.000 0.500 0.500 [2 per cell]

Computed properties:
Density (Mg/m³): 8.99

## two
This record from the Alexandria database describes a relaxed Co5Ni crystal. The functional is PBE.

a b c (Å): 4.029 2.482 13.001
angles (deg): 90.00 90.00 90.00
Space group Amm2 (No. 38)
One atom of each set of equivalent atoms:
Co: 0.000 0.000 0.000 [2 per cell]
Co: 0.000 0.000 0.333 [2 per cell]
Co: 0.000 0.000 0.666 [2 per cell]
Co: 0.500 0.000 0.223 [2 per cell]
Co: 0.500 0.000 0.557 [2 per cell]
Ni: 0.500 0.000 0.889 [2 per cell]

Computed properties:
Density (Mg/m³): 9.03

Stability summary - winner: two; margin: 1.4 kJ/mol of atoms.